Computed, not measured: crystalline LiY2TcO6 at its relaxed geometry at the PBE level of DFT.

As for the total DFT energy (no corrections): -8.014 eV/atom. The calculation puts the total moment at 0.200 μB per atom. The formation energy (no corrections) is -2519 meV/atom.

The structure belongs to space group R3 (No. 146, hexagonal axes); the cell edges are 5.5228, 5.5228 and 14.4877 Å and the angles 90.00°, 90.00° and 120.00°. Symmetry generates all atoms from Li at (0.0000, 0.0000, 0.0000), Y at (0.0000, 0.0000, 0.2296), Y at (0.0000, 0.0000, 0.7332), Tc at (0.0000, 0.0000, 0.5240), O at (0.0302, 0.7328, 0.6129) and O at (0.0546, 0.3412, 0.1213).

Computed, not measured: crystalline Sc2AgSnB at its relaxed geometry at the PBE level of DFT.

The formation enthalpy at 0 K comes out at 0.451 eV per atom. As for the total DFT energy (no corrections): -4.788 eV/atom. The calculation puts the total moment at 0.000 μB per atom.

The structure belongs to space group P4/mmm (No. 123); the cell edges are 5.2628, 5.2628 and 4.0510 Å and the angles 90.00°, 90.00° and 90.00°. Symmetry generates all atoms from Sc at (0.0000, 0.5000, 0.0000), Ag at (0.0000, 0.0000, 0.0000), Sn at (0.5000, 0.5000, 0.5000) and B at (0.0000, 0.0000, 0.5000).

Computed, not measured: crystalline Cs3Zn2Cd9 at its relaxed geometry at the PBE level of DFT.

The formation enthalpy at 0 K comes out at -0.015 eV per atom. As for the total DFT energy (no corrections): -0.968 eV/atom. The calculation puts the total moment at 0.000 μB per atom.

The structure belongs to space group Immm (No. 71); the cell edges are 4.9528, 13.3072 and 14.2030 Å and the angles 90.00°, 90.00° and 90.00°. Symmetry generates all atoms from Cs at (0.0000, 0.0000, 0.0000), Cs at (0.0000, 0.0000, 0.2933), Zn at (0.0000, 0.2408, 0.5000), Cd at (0.0000, 0.2915, 0.3090), Cd at (0.0000, 0.2928, 0.1015) and Cd at (0.0000, 0.5000, 0.0000).

Computed, not measured: crystalline MgTaSe2 at its relaxed geometry at the PBE level of DFT.

As for the total DFT energy (no corrections): -5.651 eV/atom. The calculation puts the total moment at 0.000 μB per atom. The formation energy (no corrections) is -546 meV/atom.

The structure belongs to space group C2/m (No. 12); the cell edges are 6.0627, 3.5104 and 7.5868 Å and the angles 90.00°, 105.40° and 90.00°. Symmetry generates all atoms from Mg at (0.0000, 0.0000, 0.0000), Ta at (0.0000, 0.5000, 0.5000) and Se at (0.2458, 0.0000, 0.7397).

Which formula does entry 3 have? Cs3Zn2Cd9

Which value of total moment does entry 4 give? 0.000 μB per atom

What is the total DFT energy (no corrections) in the third record? -0.968 eV/atom

Which value of total DFT energy (no corrections) does entry 1 give? -8.014 eV/atom